Dy2Tm3Ga4 | GGA-PBE | optimized geometry

Unit cell a=8.4297 b=8.4297 c=8.5137 alpha=90.00 beta=90.00 gamma=132.57
Atoms (fractional coordinates):
Dy (0.1082, 0.8918, 0.9188)
Dy (0.3918, 0.6082, 0.4188)
Dy (0.6082, 0.3918, 0.5812)
Dy (0.8918, 0.1082, 0.0812)
Tm (0.0000, 0.0000, 0.5000)
Tm (0.0379, 0.4621, 0.7500)
Tm (0.4621, 0.0379, 0.2500)
Tm (0.5000, 0.5000, 0.0000)
Tm (0.5379, 0.9621, 0.7500)
Tm (0.9621, 0.5379, 0.2500)
Ga (0.1889, 0.8111, 0.5417)
Ga (0.2232, 0.2768, 0.7500)
Ga (0.2768, 0.2232, 0.2500)
Ga (0.3111, 0.6889, 0.0417)
Ga (0.6889, 0.3111, 0.9583)
Ga (0.7232, 0.7768, 0.7500)
Ga (0.7768, 0.7232, 0.2500)
Ga (0.8111, 0.1889, 0.4583)

Calculated values
Electronic total energy in eV/f.u.: -38.36
ΔE_f in eV/f.u.: -3.638